Entry 1:
# Re2TeO8

Crystalline Re2TeO8 at its relaxed geometry (GGA-PBE, Alexandria).

## Properties
formation energy (no corrections)	-1191	meV per atom

Unit cell a=6.462 b=6.462 c=5.535 alpha=95.26 beta=95.26 gamma=67.47
Element x y z (fractional)
Re1 0.197 0.197 0.114
Re2 0.803 0.803 0.886
Te1 0.000 0.000 0.500
O1 0.062 0.714 0.721
O2 0.155 0.155 0.787
O3 0.286 0.938 0.279
O4 0.354 0.354 0.215
O5 0.646 0.646 0.785
O6 0.714 0.062 0.721
O7 0.845 0.845 0.213
O8 0.938 0.286 0.279


Entry 2:
# RbHgI2N

Crystalline RbHgI2N at its relaxed geometry (GGA-PBE, Alexandria).

## Properties
formation energy (no corrections)	153	meV per atom
Fermi-level density of states	1.2	states/eV/cell

Unit cell a=6.407 b=6.407 c=4.354 alpha=90.00 beta=90.00 gamma=90.00
Element x y z (fractional)
Rb1 0.000 0.000 0.000
Hg1 0.500 0.500 0.500
I1 0.000 0.500 0.500
I2 0.500 0.000 0.500
N1 0.500 0.500 0.000


Entry 3:
# ZrTaPt

Crystalline ZrTaPt at its relaxed geometry (GGA-PBE, Alexandria).

## Properties
energy of formation from the pure elements	-0.140	eV per atom
Fermi-level density of states	4.7	states/eV/cell

Unit cell a=4.506 b=4.506 c=4.506 alpha=60.00 beta=60.00 gamma=60.00
Element x y z (fractional)
Zr1 0.000 0.000 0.000
Ta1 0.500 0.500 0.500
Pt1 0.250 0.250 0.250


Size of the total moment? In order: 0.0000 0.4021 0.0000 μB/atom.